The following is a DFT calculation (GGA-PBE) of a geometry-optimized Hf2BeRh structure.

The volume is 67 Å³/f.u. The value obtained for the density is 11.633 g cm⁻³. For the formation energy, the calculation gives -1.81 eV per formula unit.

Cell lengths 5.6925, 3.1996, 7.5224 Å; angles 90.00, 102.30, 90.00 degrees
Space group P2_1/m (No. 11)
Asymmetric unit:
Hf: 0.2118 0.2500 0.4302 (multiplicity 2)
Hf: 0.2433 0.7500 0.0514 (multiplicity 2)
Be: 0.1093 0.2500 0.7656 (multiplicity 2)
Rh: 0.3946 0.7500 0.7241 (multiplicity 2)



The following is a DFT calculation (GGA-PBE) of a geometry-optimized Hf2BeRh6 structure.

The volume is 144 Å³/f.u. The value obtained for the density is 11.357 g cm⁻³. For the formation energy, the calculation gives -3.13 eV per formula unit.

Cell lengths 13.7794, 7.0899, 3.0160 Å; angles 90.00, 102.57, 90.00 degrees
Space group C2/m (No. 12)
Asymmetric unit:
Hf: 0.1473 0.0000 0.1452 (multiplicity 4)
Be: 0.0000 0.5000 0.5000 (multiplicity 2)
Rh: 0.0000 0.2627 0.0000 (multiplicity 4)
Rh: 0.1685 0.3058 0.6673 (multiplicity 8)



The following is a DFT calculation (GGA-PBE) of a geometry-optimized HfBe2Rh2 structure.

The volume is 66 Å³/f.u. The value obtained for the density is 10.058 g cm⁻³. For the formation energy, the calculation gives -2.70 eV per formula unit.

Cell lengths 6.8330, 6.8330, 2.8452 Å; angles 90.00, 90.00, 90.00 degrees
Space group P4/mbm (No. 127)
Asymmetric unit:
Hf: 0.0000 0.0000 0.0000 (multiplicity 2)
Be: 0.1399 0.3601 0.5000 (multiplicity 4)
Rh: 0.1497 0.6497 0.0000 (multiplicity 4)



The following is a DFT calculation (GGA-PBE) of a geometry-optimized HfBe5Rh6 structure.

The volume is 144 Å³/f.u. The value obtained for the density is 9.669 g cm⁻³. For the formation energy, the calculation gives -7.96 eV per formula unit.

Cell lengths 4.0836, 5.8375, 6.3934 Å; angles 90.00, 108.62, 90.00 degrees
Space group P2/m (No. 10)
Asymmetric unit:
Hf: 0.0000 0.0000 0.0000 (multiplicity 1)
Be: 0.0000 0.5000 0.0000 (multiplicity 1)
Be: 0.3334 0.0000 0.6631 (multiplicity 2)
Be: 0.3350 0.5000 0.6676 (multiplicity 2)
Rh: 0.1731 0.2601 0.3470 (multiplicity 4)
Rh: 0.5000 0.2718 0.0000 (multiplicity 2)